The following is a DFT calculation (GGA-PBE) of a relaxed structure of MgTa2Au.

formation enthalpy at 0 K = -0.04 eV/atom
space-group type = P4mm

```
4
Lattice="2.857 0.000 0.000 0.000 2.857 0.000 0.000 0.000 8.967" Properties=species:S:1:pos:R:3 pbc="T T T"
Ta 0.000 0.000 0.062
Ta 1.428 1.428 2.322
Mg 1.428 1.428 6.579
Au 0.000 0.000 4.487
```


The following is a DFT calculation (GGA-PBE) of a relaxed structure of CaErSiHg.

uncorrected formation energy = -0.4224 eV per atom
space-group type = F-43m

```
4
Lattice="-2.736 -0.477 -4.318 -2.263 -4.469 -1.125 -5.112 -0.419 0.232" Properties=species:S:1:pos:R:3 pbc="T T T"
Ca -7.583 -4.023 -3.908
Er -2.528 -1.341 -1.303
Si -5.055 -2.682 -2.606
Hg 0.000 0.000 0.000
```


no.,calculated volume (A^3/atom)
1,18.3
2,23.9